[1]
Computed, not measured: SmIn2Cl5 after structural relaxation at the GGA-PBEsol level of DFT.

a = 7.9531 Å, b = 8.5559 Å, c = 12.4805 Å
α = 90.00°, β = 90.00°, γ = 90.00°
Fractional coordinates of all 32 atoms:
Cl: 0.1560 0.2500 0.2937
Cl: 0.3309 0.5458 0.0718
Cl: 0.6691 0.0458 0.9282
In: 0.4381 0.5085 0.3287
Cl: 0.0790 0.2500 0.0052
Cl: 0.6075 0.2500 0.1880
Sm: 0.0763 0.2500 0.5057
In: 0.5619 0.4915 0.6713
Cl: 0.8309 0.4542 0.4282
In: 0.0619 0.9915 0.8287
In: 0.4381 0.9915 0.3287
Sm: 0.5763 0.7500 0.9943
Cl: 0.1075 0.7500 0.3120
In: 0.0619 0.5085 0.8287
Cl: 0.9210 0.7500 0.9948
In: 0.9381 0.0085 0.1713
Cl: 0.3925 0.7500 0.8120
Cl: 0.6691 0.4542 0.9282
Cl: 0.3309 0.9542 0.0718
Cl: 0.8925 0.2500 0.6880
Cl: 0.1691 0.9542 0.5718
Cl: 0.5790 0.7500 0.4948
Cl: 0.3440 0.2500 0.7937
In: 0.9381 0.4915 0.1713
Cl: 0.1691 0.5458 0.5718
In: 0.5619 0.0085 0.6713
Cl: 0.8309 0.0458 0.4282
Sm: 0.4237 0.2500 0.0057
Cl: 0.8440 0.7500 0.7063
Cl: 0.4210 0.2500 0.5052
Sm: 0.9237 0.7500 0.4943
Cl: 0.6560 0.7500 0.2063

Values from the calculation:
* ρ: 4.36 g/cm³
* calculated volume: 849.3 Å³ per cell
* uncorrected energy: -0.1535 Ha/atom
* formation energy from raw total energies: -1.54 eV/atom
* total magnetization: 0.000 μB per atom


[2]
Computed, not measured: InSnCl2 after structural relaxation at the GGA-PBEsol level of DFT.

a = 5.1418 Å, b = 5.1418 Å, c = 5.1418 Å
α = 60.00°, β = 60.00°, γ = 60.00°
Fractional coordinates of all 4 atoms:
Sn: 0.5000 0.5000 0.5000
In: 0.0000 0.0000 0.0000
Cl: 0.2500 0.2500 0.2500
Cl: 0.7500 0.7500 0.7500

Values from the calculation:
* ρ: 5.26 g/cm³
* calculated volume: 96.1 Å³ per cell
* uncorrected energy: -0.1200 Ha/atom
* formation energy from raw total energies: -0.45 eV/atom
* total magnetization: 0.000 μB per atom


Please write out number 1 again, unchanged.
Computed, not measured: SmIn2Cl5 after structural relaxation at the GGA-PBEsol level of DFT.

a = 7.9531 Å, b = 8.5559 Å, c = 12.4805 Å
α = 90.00°, β = 90.00°, γ = 90.00°
Fractional coordinates of all 32 atoms:
Cl: 0.1560 0.2500 0.2937
Cl: 0.3309 0.5458 0.0718
Cl: 0.6691 0.0458 0.9282
In: 0.4381 0.5085 0.3287
Cl: 0.0790 0.2500 0.0052
Cl: 0.6075 0.2500 0.1880
Sm: 0.0763 0.2500 0.5057
In: 0.5619 0.4915 0.6713
Cl: 0.8309 0.4542 0.4282
In: 0.0619 0.9915 0.8287
In: 0.4381 0.9915 0.3287
Sm: 0.5763 0.7500 0.9943
Cl: 0.1075 0.7500 0.3120
In: 0.0619 0.5085 0.8287
Cl: 0.9210 0.7500 0.9948
In: 0.9381 0.0085 0.1713
Cl: 0.3925 0.7500 0.8120
Cl: 0.6691 0.4542 0.9282
Cl: 0.3309 0.9542 0.0718
Cl: 0.8925 0.2500 0.6880
Cl: 0.1691 0.9542 0.5718
Cl: 0.5790 0.7500 0.4948
Cl: 0.3440 0.2500 0.7937
In: 0.9381 0.4915 0.1713
Cl: 0.1691 0.5458 0.5718
In: 0.5619 0.0085 0.6713
Cl: 0.8309 0.0458 0.4282
Sm: 0.4237 0.2500 0.0057
Cl: 0.8440 0.7500 0.7063
Cl: 0.4210 0.2500 0.5052
Sm: 0.9237 0.7500 0.4943
Cl: 0.6560 0.7500 0.2063

Values from the calculation:
* ρ: 4.36 g/cm³
* calculated volume: 849.3 Å³ per cell
* uncorrected energy: -0.1535 Ha/atom
* formation energy from raw total energies: -1.54 eV/atom
* total magnetization: 0.000 μB per atom


What is the formation energy from raw total energies in the first record?
-1.54 eV/atom


Repeat the second record exactly.
Computed, not measured: InSnCl2 after structural relaxation at the GGA-PBEsol level of DFT.

a = 5.1418 Å, b = 5.1418 Å, c = 5.1418 Å
α = 60.00°, β = 60.00°, γ = 60.00°
Fractional coordinates of all 4 atoms:
Sn: 0.5000 0.5000 0.5000
In: 0.0000 0.0000 0.0000
Cl: 0.2500 0.2500 0.2500
Cl: 0.7500 0.7500 0.7500

Values from the calculation:
* ρ: 5.26 g/cm³
* calculated volume: 96.1 Å³ per cell
* uncorrected energy: -0.1200 Ha/atom
* formation energy from raw total energies: -0.45 eV/atom
* total magnetization: 0.000 μB per atom